Entry from OQMD: a relaxed structure of DyTmBe2Ge2 (GGA-PBE).

The calculation puts the total energy at -29.74 eV per formula unit. The value obtained for the volume is 17.6 Å³/atom.

The space group is P-3m1 (No. 164) and the conventional cell measures 3.8993, 3.8993 and 8.0168 Å, with angles of 90.00, 90.00 and 120.00 degrees. Symmetry generates all atoms from Dy at (0.0000, 0.0000, 0.0000), Tm at (0.0000, 0.0000, 0.5000), Be at (0.3333, 0.6667, 0.2519) and Ge at (0.3333, 0.6667, 0.7473).

---

Entry from OQMD: a relaxed structure of DyYBe2Ge2 (GGA-PBE).

The calculation puts the total energy at -31.85 eV per formula unit. The value obtained for the volume is 18.0 Å³/atom.

The space group is P-3m1 (No. 164) and the conventional cell measures 3.9196, 3.9196 and 8.1036 Å, with angles of 90.00, 90.00 and 120.00 degrees. Symmetry generates all atoms from Dy at (0.0000, 0.0000, 0.0000), Y at (0.0000, 0.0000, 0.5000), Be at (0.3333, 0.6667, 0.2495) and Ge at (0.3333, 0.6667, 0.7508).

---

Entry from OQMD: a relaxed structure of DyHo3Be (GGA-PBE).

The calculation puts the total energy at -20.73 eV per formula unit. The value obtained for the volume is 29.3 Å³/atom.

The space group is Pm-3m (No. 221) and the conventional cell measures 5.272, 5.272 and 5.272 Å, with angles of 90.00, 90.00 and 90.00 degrees. Symmetry generates all atoms from Dy at (0.000, 0.000, 0.000), Ho at (0.000, 0.500, 0.500) and Be at (0.500, 0.500, 0.500).

---

Entry from OQMD: a relaxed structure of DyBeIn (GGA-PBE).

The energy above the most stable polymorph in this dataset comes out at 0.0000 eV per atom. The value obtained for the volume is 21.6 Å³/atom.

The space group is F-43m (No. 216) and the conventional cell measures 6.372, 6.372 and 6.372 Å, with angles of 90.00, 90.00 and 90.00 degrees. Symmetry generates all atoms from Dy at (0.000, 0.000, 0.000), Be at (0.250, 0.250, 0.250) and In at (0.000, 0.000, 0.500).

---

Entry from OQMD: a relaxed structure of DyBe2In6 (GGA-PBE).

The calculation puts the total energy at -27.83 eV per formula unit. The value obtained for the volume is 22.5 Å³/atom.

The space group is C2/m (No. 12) and the conventional cell measures 12.015, 4.423 and 9.015 Å, with angles of 90.00, 122.13 and 90.00 degrees. Symmetry generates all atoms from Dy at (0.000, 0.000, 0.000), Be at (0.097, 0.500, 0.265), In at (0.002, 0.000, 0.344), In at (0.193, 0.500, 0.041) and In at (0.219, 0.500, 0.618).

---

Entry from OQMD: a relaxed structure of DyBeIn (GGA-PBE).

The energy above the most stable polymorph in this dataset comes out at 0.4043 eV per atom. The value obtained for the volume is 24.1 Å³/atom.

The space group is F-43m (No. 216) and the conventional cell measures 6.612, 6.612 and 6.612 Å, with angles of 90.00, 90.00 and 90.00 degrees. Symmetry generates all atoms from Dy at (0.000, 0.000, 0.000), Be at (0.000, 0.000, 0.500) and In at (0.250, 0.250, 0.750).

---

Entry from OQMD: a relaxed structure of KDyBeS3 (GGA-PBE).

The calculation puts the total energy at -31.23 eV per formula unit. The value obtained for the volume is 23.8 Å³/atom.

The space group is Cmcm (No. 63) and the conventional cell measures 3.855, 14.190 and 10.448 Å, with angles of 90.00, 90.00 and 90.00 degrees. Symmetry generates all atoms from K at (0.000, 0.242, 0.250), Dy at (0.000, 0.500, 0.000), Be at (0.000, 0.039, 0.750), S at (0.000, 0.119, 0.583) and S at (0.000, 0.446, 0.750).

---

Entry from OQMD: a relaxed structure of KDyBeSe3 (GGA-PBE).

The calculation puts the total energy at -28.34 eV per formula unit. The value obtained for the volume is 27.0 Å³/atom.

The space group is Cmcm (No. 63) and the conventional cell measures 4.014, 14.842 and 10.896 Å, with angles of 90.00, 90.00 and 90.00 degrees. Symmetry generates all atoms from K at (0.000, 0.243, 0.250), Dy at (0.000, 0.500, 0.000), Be at (0.000, 0.038, 0.750), Se at (0.000, 0.122, 0.580) and Se at (0.000, 0.443, 0.750).

---

Entry from OQMD: a relaxed structure of LaDyBe2Si2 (GGA-PBE).

The calculation puts the total energy at -31.49 eV per formula unit. The value obtained for the volume is 18.8 Å³/atom.

The space group is P-3m1 (No. 164) and the conventional cell measures 3.9341, 3.9341 and 8.4289 Å, with angles of 90.00, 90.00 and 120.00 degrees. Symmetry generates all atoms from La at (0.0000, 0.0000, 0.0000), Dy at (0.0000, 0.0000, 0.5000), Be at (0.3333, 0.6667, 0.2644) and Si at (0.3333, 0.6667, 0.7358).

---

Entry from OQMD: a relaxed structure of DyBeMo (GGA-PBE).

The energy above the most stable polymorph in this dataset comes out at 0.0000 eV per atom. The value obtained for the volume is 18.7 Å³/atom.

The space group is F-43m (No. 216) and the conventional cell measures 6.075, 6.075 and 6.075 Å, with angles of 90.00, 90.00 and 90.00 degrees. Symmetry generates all atoms from Dy at (0.000, 0.000, 0.000), Be at (0.250, 0.250, 0.250) and Mo at (0.000, 0.000, 0.500).

---

Entry from OQMD: a relaxed structure of NaDyBeS3 (GGA-PBE).

The calculation puts the total energy at -31.04 eV per formula unit. The value obtained for the volume is 21.3 Å³/atom.

The space group is Cmcm (No. 63) and the conventional cell measures 3.790, 12.866 and 10.493 Å, with angles of 90.00, 90.00 and 90.00 degrees. Symmetry generates all atoms from Na at (0.000, 0.248, 0.250), Dy at (0.000, 0.000, 0.000), Be at (0.000, 0.464, 0.750), S at (0.000, 0.065, 0.750) and S at (0.000, 0.370, 0.588).

---

Entry from OQMD: a relaxed structure of NaDyBeSe3 (GGA-PBE).

The calculation puts the total energy at -28.11 eV per formula unit. The value obtained for the volume is 24.0 Å³/atom.

The space group is Cmcm (No. 63) and the conventional cell measures 3.934, 13.472 and 10.871 Å, with angles of 90.00, 90.00 and 90.00 degrees. Symmetry generates all atoms from Na at (0.000, 0.247, 0.250), Dy at (0.000, 0.000, 0.000), Be at (0.000, 0.464, 0.750), Se at (0.000, 0.069, 0.750) and Se at (0.000, 0.366, 0.585).

---

Entry from OQMD: a relaxed structure of DyBeNb (GGA-PBE).

The energy above the most stable polymorph in this dataset comes out at 0.0000 eV per atom. The value obtained for the volume is 20.0 Å³/atom.

The space group is F-43m (No. 216) and the conventional cell measures 6.218, 6.218 and 6.218 Å, with angles of 90.00, 90.00 and 90.00 degrees. Symmetry generates all atoms from Dy at (0.000, 0.000, 0.000), Be at (0.250, 0.250, 0.250) and Nb at (0.000, 0.000, 0.500).

---

Entry from OQMD: a relaxed structure of NdDyBe2Si2 (GGA-PBE).

The calculation puts the total energy at -31.45 eV per formula unit. The value obtained for the volume is 18.2 Å³/atom.

The space group is P-3m1 (No. 164) and the conventional cell measures 3.9082, 3.9082 and 8.2664 Å, with angles of 90.00, 90.00 and 120.00 degrees. Symmetry generates all atoms from Nd at (0.0000, 0.0000, 0.0000), Dy at (0.0000, 0.0000, 0.5000), Be at (0.3333, 0.6667, 0.7420) and Si at (0.3333, 0.6667, 0.2596).

---

Entry from OQMD: a relaxed structure of DyBeNi (GGA-PBE).

The calculation puts the total energy at -13.38 eV per formula unit. The value obtained for the volume is 17.2 Å³/atom.

The space group is F-43m (No. 216) and the conventional cell measures 5.914, 5.914 and 5.914 Å, with angles of 90.00, 90.00 and 90.00 degrees. Symmetry generates all atoms from Dy at (0.000, 0.000, 0.000), Be at (0.250, 0.250, 0.250) and Ni at (0.000, 0.000, 0.500).

---

Entry from OQMD: a relaxed structure of DyNpBe (GGA-PBE).

The energy above the most stable polymorph in this dataset comes out at 0.0000 eV per atom. The value obtained for the volume is 23.7 Å³/atom.

The space group is F-43m (No. 216) and the conventional cell measures 6.573, 6.573 and 6.573 Å, with angles of 90.00, 90.00 and 90.00 degrees. Symmetry generates all atoms from Dy at (0.000, 0.000, 0.000), Np at (0.000, 0.000, 0.500) and Be at (0.250, 0.250, 0.250).

---

Entry from OQMD: a relaxed structure of DyBePO (GGA-PBE).

The energy above the most stable polymorph in this dataset comes out at 0.0362 eV per atom. The value obtained for the volume is 16.3 Å³/atom.

The space group is Pmc2_1 (No. 26) and the conventional cell measures 4.114, 5.837 and 5.432 Å, with angles of 90.00, 90.00 and 90.00 degrees. Symmetry generates all atoms from Dy at (0.000, 0.248, 0.000), Be at (0.500, 0.385, 0.620), P at (0.000, 0.231, 0.508) and O at (0.500, 0.387, 0.935).

---

Entry from OQMD: a relaxed structure of DyBePO (GGA-PBE).

The energy above the most stable polymorph in this dataset comes out at 1.4195 eV per atom. The value obtained for the volume is 17.7 Å³/atom.

The space group is P4/nmm (No. 129, origin choice 2) and the conventional cell measures 3.950, 3.950 and 9.081 Å, with angles of 90.00, 90.00 and 90.00 degrees. Symmetry generates all atoms from Dy at (0.250, 0.750, 0.000), Be at (0.250, 0.250, 0.490), P at (0.250, 0.250, 0.198) and O at (0.250, 0.750, 0.500).

---

Entry from OQMD: a relaxed structure of DyBePO (GGA-PBE).

The energy above the most stable polymorph in this dataset comes out at 0.0000 eV per atom. The value obtained for the volume is 14.6 Å³/atom.

The space group is P4/nmm (No. 129, origin choice 2) and the conventional cell measures 3.744, 3.744 and 8.341 Å, with angles of 90.00, 90.00 and 90.00 degrees. Symmetry generates all atoms from Dy at (0.250, 0.250, 0.140), Be at (0.250, 0.750, 0.500), P at (0.250, 0.250, 0.649) and O at (0.250, 0.750, 0.000).

---

Entry from OQMD: a relaxed structure of DyBePO (GGA-PBE).

The energy above the most stable polymorph in this dataset comes out at 0.3290 eV per atom. The value obtained for the volume is 14.4 Å³/atom.

The space group is Pmc2_1 (No. 26) and the conventional cell measures 3.105, 5.637 and 6.565 Å, with angles of 90.00, 90.00 and 90.00 degrees. Symmetry generates all atoms from Dy at (0.000, 0.219, 0.000), Be at (0.500, 0.266, 0.378), P at (0.500, 0.405, 0.683) and O at (0.000, 0.131, 0.338).

---

Entry from OQMD: a relaxed structure of DyPaBe (GGA-PBE).

The energy above the most stable polymorph in this dataset comes out at 0.0000 eV per atom. The value obtained for the volume is 23.2 Å³/atom.

The space group is F-43m (No. 216) and the conventional cell measures 6.530, 6.530 and 6.530 Å, with angles of 90.00, 90.00 and 90.00 degrees. Symmetry generates all atoms from Dy at (0.000, 0.000, 0.000), Pa at (0.000, 0.000, 0.500) and Be at (0.250, 0.250, 0.250).

---

Entry from OQMD: a relaxed structure of PrDyBe (GGA-PBE).

The energy above the most stable polymorph in this dataset comes out at 0.0000 eV per atom. The value obtained for the volume is 26.7 Å³/atom.

The space group is F-43m (No. 216) and the conventional cell measures 6.839, 6.839 and 6.839 Å, with angles of 90.00, 90.00 and 90.00 degrees. Symmetry generates all atoms from Pr at (0.000, 0.000, 0.000), Dy at (0.250, 0.250, 0.750) and Be at (0.000, 0.000, 0.500).

---

Entry from OQMD: a relaxed structure of PrDyBe2Si2 (GGA-PBE).

The calculation puts the total energy at -31.40 eV per formula unit. The value obtained for the volume is 18.4 Å³/atom.

The space group is P-3m1 (No. 164) and the conventional cell measures 3.9207, 3.9207 and 8.3139 Å, with angles of 90.00, 90.00 and 120.00 degrees. Symmetry generates all atoms from Pr at (0.0000, 0.0000, 0.0000), Dy at (0.0000, 0.0000, 0.5000), Be at (0.3333, 0.6667, 0.2609) and Si at (0.3333, 0.6667, 0.7387).

---

Entry from OQMD: a relaxed structure of DyPuBe (GGA-PBE).

The energy above the most stable polymorph in this dataset comes out at 0.0000 eV per atom. The value obtained for the volume is 24.9 Å³/atom.

The space group is F-43m (No. 216) and the conventional cell measures 6.683, 6.683 and 6.683 Å, with angles of 90.00, 90.00 and 90.00 degrees. Symmetry generates all atoms from Dy at (0.000, 0.000, 0.000), Pu at (0.250, 0.250, 0.250) and Be at (0.000, 0.000, 0.500).

---

Entry from OQMD: a relaxed structure of RbDyBeS3 (GGA-PBE).

The calculation puts the total energy at -31.08 eV per formula unit. The value obtained for the volume is 25.0 Å³/atom.

The space group is Cmcm (No. 63) and the conventional cell measures 3.879, 14.817 and 10.447 Å, with angles of 90.00, 90.00 and 90.00 degrees. Symmetry generates all atoms from Rb at (0.000, 0.240, 0.250), Dy at (0.000, 0.500, 0.000), Be at (0.000, 0.040, 0.750), S at (0.000, 0.115, 0.581) and S at (0.000, 0.451, 0.750).

---

Entry from OQMD: a relaxed structure of RbDyBeSe3 (GGA-PBE).

The calculation puts the total energy at -28.21 eV per formula unit. The value obtained for the volume is 28.3 Å³/atom.

The space group is Cmcm (No. 63) and the conventional cell measures 4.034, 15.441 and 10.887 Å, with angles of 90.00, 90.00 and 90.00 degrees. Symmetry generates all atoms from Rb at (0.000, 0.241, 0.250), Dy at (0.000, 0.500, 0.000), Be at (0.000, 0.039, 0.750), Se at (0.000, 0.118, 0.578) and Se at (0.000, 0.447, 0.750).